CeErGeTe | GGA-PBE | optimized geometry

Cell: 7.5225 7.5225 7.5225 Å, 33.09 33.09 33.09°
Atoms (fractional coordinates):
Ce 0.0000 0.0000 0.0000
Er 0.5183 0.5183 0.5183
Ge 0.2575 0.2575 0.2575
Te 0.7625 0.7625 0.7625

Results
symmetry	R3m (160)
total magnetic moment	0.70	μB per formula unit
formation energy (no corrections)	-1.119	eV per atom